Below is a geometry-optimized Ba8Sb3PI4 structure, with properties calculated at the PBE level.

Cell: 10.021 10.225 10.021 Å, 119.34 120.00 90.00°
Positions (direct):
Sb 0.500 0.500 0.000
Sb 0.000 0.500 0.500
Sb 0.500 0.500 0.500
Ba 0.771 0.291 0.021
Ba 0.750 0.709 0.979
Ba 0.261 0.283 0.522
Ba 0.739 0.717 0.478
Ba 0.229 0.709 0.979
Ba 0.250 0.291 0.021
Ba 0.771 0.291 0.542
Ba 0.229 0.709 0.458
I 0.500 0.000 0.000
I 0.000 0.000 0.500
I 0.500 0.000 0.500
I 0.000 0.000 0.000
P 0.000 0.500 0.000

Calculated values
Volume = 45.8 Å³ per atom
Space-group type = R-3m
Raw formation energy = -1.398 eV per atom

=====

Below is a geometry-optimized Ba8SbP3I3 structure, with properties calculated at the PBE level.

Cell: 9.678 9.678 9.992 Å, 118.99 90.00 120.00°
Positions (direct):
P 0.500 0.000 0.500
P 0.000 0.500 0.500
P 0.500 0.500 0.500
I 0.000 0.500 0.000
I 0.000 0.000 0.000
I 0.500 0.500 0.000
Ba 0.756 0.512 0.292
Ba 0.266 0.533 0.299
Ba 0.244 0.964 0.708
Ba 0.280 0.036 0.292
Ba 0.756 0.036 0.292
Ba 0.244 0.488 0.708
Ba 0.734 0.467 0.701
Ba 0.720 0.964 0.708
Sb 0.000 0.000 0.500

Calculated values
Volume = 44.8 Å³ per atom
Space-group type = R-3m
DOS(E_F) = 0.08 states/eV per atom
Raw formation energy = -1.287 eV per atom

=====

Below is a geometry-optimized BaSbPI2 structure, with properties calculated at the PBE level.

Cell: 5.569 5.569 5.579 Å, 90.00 90.00 90.00°
Positions (direct):
Ba 0.500 0.500 0.500
P 0.000 0.000 0.000
I 0.500 0.000 0.000
I 0.000 0.500 0.000
Sb 0.000 0.000 0.500

Calculated values
Volume = 34.6 Å³ per atom
Space-group type = P4/mmm
DOS(E_F) = 0.66 states/eV per atom
Raw formation energy = -0.368 eV per atom
ΔE to the lowest computed polymorph = 0.000 eV per atom

=====

Below is a geometry-optimized BaSb2PI structure, with properties calculated at the PBE level.

Cell: 5.249 5.249 6.104 Å, 90.00 90.00 90.00°
Positions (direct):
Sb 0.000 0.500 0.000
Sb 0.500 0.000 0.000
P 0.000 0.000 0.000
I 0.000 0.000 0.500
Ba 0.500 0.500 0.500

Calculated values
Volume = 33.6 Å³ per atom
Space-group type = P4/mmm
DOS(E_F) = 0.81 states/eV per atom
Raw formation energy = -0.211 eV per atom
ΔE to the lowest computed polymorph = 0.000 eV per atom

=====

Below is a geometry-optimized BaSbPI2 structure, with properties calculated at the PBE level.

Cell: 6.736 6.736 7.748 Å, 90.00 90.00 90.00°
Positions (direct):
Ba 0.000 0.000 0.000
I 0.500 0.000 0.000
I 0.000 0.500 0.000
Sb 0.000 0.000 0.500
P 0.500 0.500 0.500

Calculated values
Volume = 70.3 Å³ per atom
Space-group type = P4/mmm
DOS(E_F) = 0.68 states/eV per atom
Raw formation energy = 0.346 eV per atom
ΔE to the lowest computed polymorph = 0.714 eV per atom

=====

Below is a geometry-optimized BaSb2PI structure, with properties calculated at the PBE level.

Cell: 7.236 7.236 6.757 Å, 90.00 90.00 90.00°
Positions (direct):
I 0.000 0.000 0.500
Sb 0.500 0.000 0.000
Sb 0.000 0.500 0.000
P 0.500 0.500 0.500
Ba 0.000 0.000 0.000

Calculated values
Volume = 70.8 Å³ per atom
Space-group type = P4/mmm
DOS(E_F) = 0.34 states/eV per atom
Raw formation energy = 0.958 eV per atom
ΔE to the lowest computed polymorph = 1.169 eV per atom

=====

Below is a geometry-optimized Ba6PSe2I3 structure, with properties calculated at the PBE level.

Cell: 8.258 8.258 8.670 Å, 99.13 99.13 119.95°
Positions (direct):
Se 0.334 0.666 0.000
Se 0.666 0.334 0.000
Ba 0.747 0.747 0.211
Ba 0.070 0.393 0.209
Ba 0.253 0.253 0.789
Ba 0.393 0.070 0.209
Ba 0.607 0.930 0.791
Ba 0.930 0.607 0.791
I 0.831 0.169 0.500
I 0.500 0.500 0.500
I 0.169 0.831 0.500
P 0.000 0.000 0.000

Calculated values
Volume = 40.5 Å³ per atom
Space-group type = C2/m
DOS(E_F) = 0.36 states/eV per atom
Raw formation energy = -1.632 eV per atom

=====

Below is a geometry-optimized Ba6PSe3I2 structure, with properties calculated at the PBE level.

Cell: 8.355 8.355 8.278 Å, 99.75 99.75 119.78°
Positions (direct):
Se 0.828 0.172 0.500
Se 0.500 0.500 0.500
Se 0.172 0.828 0.500
Ba 0.912 0.606 0.735
Ba 0.606 0.912 0.735
Ba 0.394 0.088 0.265
Ba 0.088 0.394 0.265
Ba 0.785 0.785 0.260
Ba 0.215 0.215 0.740
I 0.334 0.666 0.000
I 0.666 0.334 0.000
P 0.000 0.000 0.000

Calculated values
Volume = 39.3 Å³ per atom
Space-group type = C2/m
DOS(E_F) = 0.30 states/eV per atom
Raw formation energy = -1.717 eV per atom